No. 1
DFT (PBE-GGA) results for crystalline Nd3Cd5Pt2 at its relaxed geometry.

The structure in POSCAR format:
```
Nd3Cd5Pt2
1.0
-6.181 6.400 3.162
6.181 -6.400 3.162
6.181 6.400 -3.162
Nd Cd Pt
6 10 4
Cartesian
7.945 3.130 0.000
0.000 0.000 1.581
1.765 3.270 0.000
4.416 3.130 3.162
0.000 0.000 4.743
-1.765 3.270 3.162
4.842 1.940 0.000
3.217 0.000 1.581
6.181 0.000 1.581
9.144 0.000 1.581
4.842 -1.940 3.162
1.339 8.340 0.000
-2.963 6.400 1.581
0.000 6.400 1.581
2.963 6.400 1.581
1.339 4.460 3.162
4.457 -4.588 3.162
4.457 4.588 0.000
1.724 1.812 3.162
1.724 10.988 0.000
```

Values from the calculation:
Energy of formation   -4.54 eV/f.u.
Space-group type   Ibam (72)
M_tot   0.0 μB/f.u.

***

No. 2
DFT (PBE-GGA) results for crystalline CsCa at its relaxed geometry.

The structure in POSCAR format:
```
CsCa
1.0
0.000 6.363 11.545
3.927 0.000 11.545
3.927 6.363 0.000
Cs Ca
4 4
Cartesian
2.945 0.513 8.659
4.908 3.695 14.432
2.945 9.031 8.659
4.908 12.213 14.432
2.945 4.772 6.716
2.945 4.772 10.602
4.908 7.954 12.489
4.908 7.954 16.375
```

Values from the calculation:
Energy of formation   0.62 eV/f.u.
Space-group type   Fddd (70)
M_tot   0.0 μB/f.u.

***

No. 3
DFT (PBE-GGA) results for crystalline V4Co at its relaxed geometry.

The structure in POSCAR format:
```
V4Co
1.0
2.534 -7.468 0.000
2.534 7.468 0.000
-2.123 0.000 3.525
V Co
8 2
Cartesian
-0.311 2.994 2.572
0.669 1.166 0.367
-0.392 -1.166 2.129
0.750 -2.994 0.809
2.196 2.994 2.715
3.338 1.166 1.395
2.277 -1.166 3.158
3.257 -2.994 0.953
0.942 0.792 2.644
2.004 -0.792 0.881
```

Values from the calculation:
Energy of formation   0.78 eV/f.u.
Space-group type   C2/c (15)
M_tot   0.0 μB/f.u.
Relative energy among the computed polymorphs   0.000 eV/atom

***

No. 4
DFT (PBE-GGA) results for crystalline SrLi4Mg2Tl at its relaxed geometry.

The structure in POSCAR format:
```
SrLi4Mg2Tl
1.0
2.449 1.414 9.493
-2.449 1.414 9.493
0.000 -2.827 9.493
Sr Li Mg Tl
1 4 2 1
Cartesian
0.000 0.000 0.000
0.000 0.000 3.778
0.000 0.000 11.497
0.000 0.000 16.983
0.000 0.000 24.702
0.000 0.000 6.799
0.000 0.000 21.681
0.000 0.000 14.240
```

Values from the calculation:
Energy of formation   -0.61 eV/f.u.
Space-group type   R-3m (166)
M_tot   0.0 μB/f.u.

***

No. 5
DFT (PBE-GGA) results for crystalline InGa4Rh at its relaxed geometry.

The structure in POSCAR format:
```
InGa4Rh
1.0
4.153 -3.650 0.000
4.153 3.650 0.000
-2.839 0.000 7.913
In Ga Rh
2 8 2
Cartesian
2.077 1.825 0.000
2.077 -1.825 0.000
-2.100 0.000 5.985
0.711 1.338 5.369
2.310 0.000 2.564
4.757 1.338 2.544
0.711 -1.338 5.369
3.158 0.000 5.349
4.757 -1.338 2.544
7.568 0.000 1.927
2.734 2.193 3.956
2.734 -2.193 3.956
```

Values from the calculation:
Energy of formation   -0.92 eV/f.u.
Space-group type   C2/m (12)
M_tot   0.0 μB/f.u.
Relative energy among the computed polymorphs   0.000 eV/atom

***

No. 6
DFT (PBE-GGA) results for crystalline MnAg2SnCl8 at its relaxed geometry.

The structure in POSCAR format:
```
MnAg2SnCl8
1.0
-4.044 4.044 4.961
4.044 -4.044 4.961
4.044 4.044 -4.961
Mn Ag Sn Cl
1 2 1 8
Cartesian
0.000 0.000 0.000
4.044 0.000 2.481
0.000 0.000 4.961
0.000 4.044 2.481
2.292 0.000 0.498
5.797 0.000 0.498
4.044 2.419 -1.917
4.044 -1.752 4.464
0.000 1.626 3.044
4.044 1.752 4.464
2.419 4.044 1.917
1.626 0.000 6.878
```

Values from the calculation:
Space-group type   I-4m2 (119)
M_tot   4.4 μB/f.u.
Formation energy (no corrections)   -0.66 eV per atom

***

No. 7
DFT (PBE-GGA) results for crystalline Ni2MoBr at its relaxed geometry.

The structure in POSCAR format:
```
Ni2MoBr
1.0
3.851 0.000 0.000
0.000 3.851 0.000
0.000 0.000 3.866
Ni Mo Br
2 1 1
Cartesian
0.000 1.925 0.000
1.925 0.000 0.000
0.000 0.000 1.933
1.925 1.925 1.933
```

Values from the calculation:
Space-group type   P4/mmm (123)
M_tot   1.6 μB/f.u.
Relative energy among the computed polymorphs   0.555 eV/atom
Formation energy (no corrections)   0.89 eV per atom

***

No. 8
DFT (PBE-GGA) results for crystalline Ce3Se2F2 at its relaxed geometry.

The structure in POSCAR format:
```
Ce3Se2F2
1.0
12.395 0.000 0.000
0.000 4.096 0.000
-3.981 0.000 6.054
Ce Se F
6 4 4
Cartesian
0.000 0.000 0.000
-0.351 0.000 4.157
2.568 2.048 1.896
6.198 2.048 0.000
5.847 2.048 4.157
8.765 0.000 1.896
-0.476 2.048 2.054
2.693 0.000 4.000
5.721 0.000 2.054
8.891 2.048 4.000
2.393 0.000 0.394
-0.176 2.048 5.659
8.591 2.048 0.394
6.021 0.000 5.659
```

Values from the calculation:
Space-group type   C2/m (12)
M_tot   3.5 μB/f.u.
Formation energy (no corrections)   -2.37 eV per atom

***

No. 9
DFT (PBE-GGA) results for crystalline Cs2ReHgS4 at its relaxed geometry.

The structure in POSCAR format:
```
Cs2ReHgS4
1.0
8.503 0.000 0.000
0.000 8.503 0.000
0.000 0.000 8.514
Cs Re Hg S
4 2 2 8
Cartesian
0.000 0.000 0.000
0.000 4.251 2.129
4.251 0.000 6.386
4.251 4.251 4.257
0.000 4.251 6.386
4.251 0.000 2.129
0.000 0.000 4.257
4.251 4.251 0.000
1.170 5.648 5.161
1.397 3.082 7.610
2.854 1.170 3.353
3.082 7.106 0.904
5.421 1.397 0.904
5.648 7.333 3.353
7.106 5.421 7.610
7.333 2.854 5.161
```

Values from the calculation:
Space-group type   I-4 (82)
M_tot   1.0 μB/f.u.
Formation energy (no corrections)   -0.64 eV per atom

***

No. 10
DFT (PBE-GGA) results for crystalline TaHgAs2Pb at its relaxed geometry.

The structure in POSCAR format:
```
TaHgAs2Pb
1.0
5.011 0.000 0.000
0.000 5.011 0.000
0.000 0.000 5.448
Ta Hg As Pb
1 1 2 1
Cartesian
0.000 0.000 0.000
0.000 0.000 2.724
0.000 2.506 0.000
2.506 0.000 0.000
2.506 2.506 2.724
```

Values from the calculation:
Energy of formation   1.22 eV/f.u.
Space-group type   P4/mmm (123)
M_tot   0.0 μB/f.u.

***

No. 11
DFT (PBE-GGA) results for crystalline RbTl3Cd2 at its relaxed geometry.

The structure in POSCAR format:
```
RbTl3Cd2
1.0
6.095 -5.067 0.000
6.095 5.067 0.000
0.000 0.000 6.390
Rb Tl Cd
2 6 4
Cartesian
6.095 3.589 4.792
6.095 -3.589 1.597
4.125 2.683 1.597
8.065 2.683 1.597
6.095 0.033 1.597
6.095 -0.033 4.792
4.125 -2.683 4.792
8.065 -2.683 4.792
3.226 0.000 0.000
3.226 0.000 3.195
8.963 0.000 0.000
8.963 0.000 3.195
```

Values from the calculation:
Energy of formation   -0.17 eV/f.u.
Space-group type   Cmcm (63)
M_tot   0.0 μB/f.u.

***

No. 12
DFT (PBE-GGA) results for crystalline NbNi3Cl at its relaxed geometry.

The structure in POSCAR format:
```
NbNi3Cl
1.0
4.162 0.000 0.000
0.000 4.162 0.000
0.000 0.000 4.162
Nb Ni Cl
1 3 1
Cartesian
0.000 0.000 0.000
0.000 2.081 2.081
2.081 0.000 2.081
2.081 2.081 0.000
2.081 2.081 2.081
```

Values from the calculation:
Space-group type   Pm-3m (221)
M_tot   1.5 μB/f.u.
Relative energy among the computed polymorphs   0.000 eV/atom
Formation energy (no corrections)   0.75 eV per atom

***

- The highest M_tot belongs to which entry?
  MnAg2SnCl8